No. 1
A relaxed CeTcN4 crystal. Source: Alexandria, functional GGA-PBE.

Computed properties:
As for the uncorrected formation energy: -0.892 eV per formula unit. The value obtained for the density of states at the Fermi level is 6.7 states/eV per cell.

Lattice parameters (Å, degrees): 6.993 6.993 6.993 136.30 136.30 63.51
Sites, in units of the cell vectors:
Ce 0.375 0.125 0.250
Ce 0.625 0.875 0.750
Tc 0.125 0.375 0.750
Tc 0.875 0.625 0.250
N 0.074 0.200 0.355
N 0.219 0.574 0.374
N 0.300 0.155 0.874
N 0.345 0.719 0.145
N 0.655 0.281 0.855
N 0.700 0.845 0.126
N 0.781 0.426 0.626
N 0.926 0.800 0.645

***

No. 2
A relaxed Ce2TcN3 crystal. Source: Alexandria, functional GGA-PBE.

Computed properties:
As for the uncorrected formation energy: -7.200 eV per formula unit. The value obtained for the density of states at the Fermi level is 2.7 states/eV per cell.

Lattice parameters (Å, degrees): 6.907 6.907 6.907 151.14 147.70 43.86
Sites, in units of the cell vectors:
Ce 0.150 0.150 0.000
Ce 0.850 0.850 0.000
Tc 0.500 0.500 0.000
N 0.000 0.500 0.500
N 0.331 0.331 0.000
N 0.669 0.669 0.000

***

No. 3
A relaxed Ce2TcN crystal. Source: Alexandria, functional GGA-PBE.

Computed properties:
As for the uncorrected formation energy: -1.241 eV per formula unit. Its polymorph energy (0 for the lowest one) is 0.87 eV per formula unit. The value obtained for the density of states at the Fermi level is 3.1 states/eV per cell.

Lattice parameters (Å, degrees): 3.199 3.199 6.750 90.00 90.00 90.00
Sites, in units of the cell vectors:
Ce 0.000 0.000 0.218
Ce 0.000 0.000 0.782
Tc 0.500 0.500 0.500
N 0.500 0.500 0.000

***

No. 4
A relaxed Ce2TcN crystal. Source: Alexandria, functional GGA-PBE.

Computed properties:
As for the uncorrected formation energy: -2.110 eV per formula unit. Its polymorph energy (0 for the lowest one) is 0.00 eV per formula unit. The value obtained for the density of states at the Fermi level is 3.9 states/eV per cell.

Lattice parameters (Å, degrees): 7.514 7.514 7.514 26.62 26.62 26.62
Sites, in units of the cell vectors:
Ce 0.235 0.235 0.235
Ce 0.765 0.765 0.765
Tc 0.000 0.000 0.000
N 0.500 0.500 0.500

***

Q: The lowest uncorrected formation energy belongs to which entry?
A: Ce2TcN3